1.
! HgAuO2F (PBEsol, relaxed); values from VASP
&SYSTEM
  ibrav = 0, nat = 5, ntyp = 4
/
ATOMIC_SPECIES
Hg 200.59 Hg.upf
F 19.00 F.upf
Au 196.97 Au.upf
O 16.00 O.upf
CELL_PARAMETERS angstrom
4.159 0.000 0.000
0.000 4.159 0.000
0.000 0.000 4.272
ATOMIC_POSITIONS crystal
Hg 0.000 0.000 0.000
F 0.000 0.000 0.500
Au 0.500 0.500 0.500
O 0.000 0.500 0.000
O 0.500 0.000 0.000
! Space-group type: P4/mmm

2.
! TcHgAu2F (PBEsol, relaxed); values from VASP
&SYSTEM
  ibrav = 0, nat = 5, ntyp = 4
/
ATOMIC_SPECIES
Tc 98.00 Tc.upf
Au 196.97 Au.upf
F 19.00 F.upf
Hg 200.59 Hg.upf
CELL_PARAMETERS angstrom
4.337 0.000 0.000
0.000 4.337 0.000
0.000 0.000 4.805
ATOMIC_POSITIONS crystal
Tc 0.500 0.500 0.500
Au 0.000 0.500 0.000
Au 0.500 0.000 0.000
F 0.000 0.000 0.000
Hg 0.000 0.000 0.500
! Space-group type: P4/mmm

3.
! AuIF2 (PBEsol, relaxed); values from VASP
&SYSTEM
  ibrav = 0, nat = 4, ntyp = 3
/
ATOMIC_SPECIES
F 19.00 F.upf
I 126.90 I.upf
Au 196.97 Au.upf
CELL_PARAMETERS angstrom
-4.363 -0.303 0.646
-1.571 -2.251 3.466
-1.892 2.157 3.364
ATOMIC_POSITIONS crystal
F 0.750 0.750 0.750
F 0.250 0.250 0.250
I 0.000 0.000 0.000
Au 0.500 0.500 0.500
! Space-group type: Fm-3m

Respective E values: -2.9577; -3.4157; -2.6036 eV per atom.
Respective energy relative to the elements, uncorrected values: 2.13; 4.53; -0.87 eV/f.u..
Respective size of the total moment values: 0.78; 2.77; 0.00 μB per formula unit.